# 1
The following is a DFT calculation (PBE-GGA) of an optimized crystal structure of Ag2As4I.

Cell lengths 8.5278, 8.5278, 8.5278 Å; angles 144.07, 144.07, 51.72 degrees
Closest atoms and distances in Å follow each position.
Positions (direct):
Ag1 0.0877 0.0877 0.0000  1 As 2.46, 1 Ag 2.69
Ag2 0.9123 0.9123 0.0000  1 As 2.46, 1 Ag 2.69
As1 0.0000 0.5000 0.5000  2 I 2.63
As2 0.2479 0.2479 0.0000  1 Ag 2.46
As3 0.5000 0.0000 0.5000  2 I 2.63
As4 0.7521 0.7521 0.0000  1 Ag 2.46
I1 0.5000 0.5000 0.0000  4 As 2.63

## Properties
Symmetry   I4/mmm, No. 139
ρ   5.02 g/cm³
Energy relative to the elements, uncorrected   0.944 eV per atom

# 2
The following is a DFT calculation (PBE-GGA) of an optimized crystal structure of AgAsI2.

Cell lengths 5.3324, 5.3324, 5.3324 Å; angles 60.00, 60.00, 60.00 degrees
Closest atoms and distances in Å follow each position.
Positions (direct):
Ag1 0.0000 0.0000 0.0000  8 I 3.27
As1 0.5000 0.5000 0.5000  8 I 3.27
I1 0.2500 0.2500 0.2500  4 As 3.27, 4 Ag 3.27
I2 0.7500 0.7500 0.7500  4 As 3.27, 4 Ag 3.27

## Properties
Symmetry   Fm-3m, No. 225
ρ   6.76 g/cm³
Energy relative to the elements, uncorrected   0.532 eV per atom
Energy relative to the lowest polymorph listed for this composition   217 meV/atom

# 3
The following is a DFT calculation (PBE-GGA) of an optimized crystal structure of Ag12As3I5.

Cell lengths 14.1769, 14.1769, 14.1769 Å; angles 109.47, 109.47, 109.47 degrees
Closest atoms and distances in Å follow each position.
Positions (direct):
Ag1 0.0585 0.6378 0.3889  1 As 2.59, 1 Ag 2.77, 1 I 2.85
Ag2 0.0585 0.9206 0.6696  1 As 2.59, 1 Ag 2.77, 1 I 2.85
Ag3 0.0794 0.2490 0.1378  1 As 2.59, 1 Ag 2.77, 1 I 2.85
Ag4 0.0794 0.3304 0.9415  1 As 2.59, 1 Ag 2.77, 1 I 2.85
Ag5 0.1111 0.7490 0.6696  1 As 2.59, 1 Ag 2.77, 1 I 2.85
Ag6 0.1111 0.8622 0.4415  1 As 2.59, 1 Ag 2.77, 1 I 2.85
Ag7 0.1378 0.0794 0.2490  1 As 2.59, 1 Ag 2.77, 1 I 2.85
Ag8 0.1378 0.5585 0.8889  1 As 2.59, 1 Ag 2.77, 1 I 2.85
Ag9 0.1696 0.2490 0.6111  1 As 2.59, 1 Ag 2.77, 1 I 2.85
Ag10 0.1696 0.4206 0.5585  1 As 2.59, 1 Ag 2.77, 1 I 2.85
Ag11 0.2490 0.1378 0.0794  1 As 2.59, 1 Ag 2.77, 1 I 2.85
Ag12 0.2490 0.6111 0.1696  1 As 2.59, 1 Ag 2.77, 1 I 2.85
Ag13 0.2510 0.3304 0.8889  1 As 2.59, 1 Ag 2.77, 1 I 2.85
Ag14 0.2510 0.4206 0.3622  1 As 2.59, 1 Ag 2.77, 1 I 2.85
Ag15 0.3304 0.8889 0.2510  1 As 2.59, 1 Ag 2.77, 1 I 2.85
Ag16 0.3304 0.9415 0.0794  1 As 2.59, 1 Ag 2.77, 1 I 2.85
Ag17 0.3622 0.2510 0.4206  1 As 2.59, 1 Ag 2.77, 1 I 2.85
Ag18 0.3622 0.6111 0.9415  1 As 2.59, 1 Ag 2.77, 1 I 2.85
Ag19 0.3889 0.0585 0.6378  1 As 2.59, 1 Ag 2.77, 1 I 2.85
Ag20 0.3889 0.8304 0.7510  1 As 2.59, 1 Ag 2.77, 1 I 2.85
Ag21 0.4206 0.3622 0.2510  1 As 2.59, 1 Ag 2.77, 1 I 2.85
Ag22 0.4206 0.5585 0.1696  1 As 2.59, 1 Ag 2.77, 1 I 2.85
Ag23 0.4415 0.1111 0.8622  1 As 2.59, 1 Ag 2.77, 1 I 2.85
Ag24 0.4415 0.8304 0.5794  1 As 2.59, 1 Ag 2.77, 1 I 2.85
Ag25 0.5585 0.1696 0.4206  1 As 2.59, 1 Ag 2.77, 1 I 2.85
Ag26 0.5585 0.8889 0.1378  1 As 2.59, 1 Ag 2.77, 1 I 2.85
Ag27 0.5794 0.4415 0.8304  1 As 2.59, 1 Ag 2.77, 1 I 2.85
Ag28 0.5794 0.6378 0.7490  1 As 2.59, 1 Ag 2.77, 1 I 2.85
Ag29 0.6111 0.1696 0.2490  1 As 2.59, 1 Ag 2.77, 1 I 2.85
Ag30 0.6111 0.9415 0.3622  1 As 2.59, 1 Ag 2.77, 1 I 2.85
Ag31 0.6378 0.3889 0.0585  1 As 2.59, 1 Ag 2.77, 1 I 2.85
Ag32 0.6378 0.7490 0.5794  1 As 2.59, 1 Ag 2.77, 1 I 2.85
Ag33 0.6696 0.0585 0.9206  1 As 2.59, 1 Ag 2.77, 1 I 2.85
Ag34 0.6696 0.1111 0.7490  1 As 2.59, 1 Ag 2.77, 1 I 2.85
Ag35 0.7490 0.5794 0.6378  1 As 2.59, 1 Ag 2.77, 1 I 2.85
Ag36 0.7490 0.6696 0.1111  1 As 2.59, 1 Ag 2.77, 1 I 2.85
Ag37 0.7510 0.3889 0.8304  1 As 2.59, 1 Ag 2.77, 1 I 2.85
Ag38 0.7510 0.8622 0.9206  1 As 2.59, 1 Ag 2.77, 1 I 2.85
Ag39 0.8304 0.5794 0.4415  1 As 2.59, 1 Ag 2.77, 1 I 2.85
Ag40 0.8304 0.7510 0.3889  1 As 2.59, 1 Ag 2.77, 1 I 2.85
Ag41 0.8622 0.4415 0.1111  1 As 2.59, 1 Ag 2.77, 1 I 2.85
Ag42 0.8622 0.9206 0.7510  1 As 2.59, 1 Ag 2.77, 1 I 2.85
Ag43 0.8889 0.1378 0.5585  1 As 2.59, 1 Ag 2.77, 1 I 2.85
Ag44 0.8889 0.2510 0.3304  1 As 2.59, 1 Ag 2.77, 1 I 2.85
Ag45 0.9206 0.6696 0.0585  1 As 2.59, 1 Ag 2.77, 1 I 2.85
Ag46 0.9206 0.7510 0.8622  1 As 2.59, 1 Ag 2.77, 1 I 2.85
Ag47 0.9415 0.0794 0.3304  1 As 2.59, 1 Ag 2.77, 1 I 2.85
Ag48 0.9415 0.3622 0.6111  1 As 2.59, 1 Ag 2.77, 1 I 2.85
As1 0.1250 0.2500 0.3750  4 Ag 2.59
As2 0.1250 0.3750 0.7500  4 Ag 2.59
As3 0.2500 0.3750 0.1250  4 Ag 2.59
As4 0.2500 0.8750 0.6250  4 Ag 2.59
As5 0.3750 0.1250 0.2500  4 Ag 2.59
As6 0.3750 0.7500 0.1250  4 Ag 2.59
As7 0.6250 0.2500 0.8750  4 Ag 2.59
As8 0.6250 0.8750 0.7500  4 Ag 2.59
As9 0.7500 0.1250 0.3750  4 Ag 2.59
As10 0.7500 0.6250 0.8750  4 Ag 2.59
As11 0.8750 0.6250 0.2500  4 Ag 2.59
As12 0.8750 0.7500 0.6250  4 Ag 2.59
I1 0.0000 0.0000 0.0000  6 Ag 2.97
I2 0.0000 0.0000 0.5000  6 Ag 2.97
I3 0.0000 0.5000 0.0000  6 Ag 2.97
I4 0.0000 0.5000 0.5000  6 Ag 2.97
I5 0.1250 0.7500 0.8750  4 Ag 2.85
I6 0.1250 0.8750 0.2500  4 Ag 2.85
I7 0.2500 0.1250 0.8750  4 Ag 2.85
I8 0.2500 0.6250 0.3750  4 Ag 2.85
I9 0.3750 0.2500 0.6250  4 Ag 2.85
I10 0.3750 0.6250 0.7500  4 Ag 2.85
I11 0.5000 0.0000 0.0000  6 Ag 2.97
I12 0.5000 0.0000 0.5000  6 Ag 2.97
I13 0.5000 0.5000 0.0000  6 Ag 2.97
I14 0.5000 0.5000 0.5000  6 Ag 2.97
I15 0.6250 0.3750 0.2500  4 Ag 2.85
I16 0.6250 0.7500 0.3750  4 Ag 2.85
I17 0.7500 0.3750 0.6250  4 Ag 2.85
I18 0.7500 0.8750 0.1250  4 Ag 2.85
I19 0.8750 0.1250 0.7500  4 Ag 2.85
I20 0.8750 0.2500 0.1250  4 Ag 2.85

## Properties
Symmetry   Ia-3d, No. 230
ρ   6.52 g/cm³
Energy relative to the elements, uncorrected   0.063 eV per atom

# 4
The following is a DFT calculation (PBE-GGA) of an optimized crystal structure of Ag3AsI.

Cell lengths 5.3861, 5.3861, 5.3861 Å; angles 90.00, 90.00, 90.00 degrees
Closest atoms and distances in Å follow each position.
Positions (direct):
Ag1 0.0000 0.0000 0.5000  2 I 2.69
Ag2 0.0000 0.5000 0.0000  2 I 2.69
Ag3 0.5000 0.0000 0.0000  2 I 2.69
As1 0.5000 0.5000 0.5000  12 Ag 3.81
I1 0.0000 0.0000 0.0000  6 Ag 2.69

## Properties
Symmetry   Pm-3m, No. 221
ρ   5.58 g/cm³
Energy relative to the elements, uncorrected   0.940 eV per atom
Energy relative to the lowest polymorph listed for this composition   705 meV/atom

# 5
The following is a DFT calculation (PBE-GGA) of an optimized crystal structure of AgAs2I.

Cell lengths 5.0346, 5.0346, 5.0346 Å; angles 60.00, 60.00, 60.00 degrees
Closest atoms and distances in Å follow each position.
Positions (direct):
Ag1 0.0000 0.0000 0.0000  8 As 3.08
As1 0.2500 0.2500 0.2500  4 I 3.08, 4 Ag 3.08
As2 0.7500 0.7500 0.7500  4 Ag 3.08, 4 I 3.08
I1 0.5000 0.5000 0.5000  8 As 3.08

## Properties
Symmetry   Fm-3m, No. 225
ρ   7.08 g/cm³
Energy relative to the elements, uncorrected   0.728 eV per atom
Energy relative to the lowest polymorph listed for this composition   132 meV/atom

# 6
The following is a DFT calculation (PBE-GGA) of an optimized crystal structure of AgAs2I.

Cell lengths 8.1733, 8.1733, 8.1733 Å; angles 137.16, 137.16, 62.19 degrees
Closest atoms and distances in Å follow each position.
Positions (direct):
Ag1 0.0000 0.0000 0.0000  4 As 2.55
Ag2 0.7500 0.2500 0.5000  4 As 2.55
As1 0.0587 0.6250 0.9337  2 Ag 2.55
As2 0.3750 0.3087 0.4337  2 Ag 2.55
As3 0.6913 0.1250 0.0663  2 Ag 2.55
As4 0.8750 0.9413 0.5663  2 Ag 2.55
I1 0.2500 0.7500 0.5000  4 As 2.98
I2 0.5000 0.5000 0.0000  4 As 2.98

## Properties
Symmetry   I-42d, No. 122
ρ   5.12 g/cm³
Energy relative to the elements, uncorrected   0.596 eV per atom
Energy relative to the lowest polymorph listed for this composition   0 meV/atom

# 7
The following is a DFT calculation (PBE-GGA) of an optimized crystal structure of Ag2AsI5.

Cell lengths 7.3169, 7.4032, 8.3726 Å; angles 103.42, 95.86, 110.64 degrees
Closest atoms and distances in Å follow each position.
Positions (direct):
Ag1 0.0000 0.0000 0.0000  4 I 2.79-2.99
Ag2 0.3750 0.8663 0.6112  3 I 2.73-2.81
As1 0.4758 0.9516 0.0883  3 I 2.64-2.84
I1 0.0866 0.6999 0.7911  2 Ag 2.79-2.81
I2 0.2354 0.7218 0.2732  1 Ag 2.73, 1 As 2.84
I3 0.4076 0.2816 0.1961  1 As 2.64
I4 0.7144 0.1286 0.8444  2 Ag 2.76-2.90, 1 As 3.05
I5 0.8172 0.0264 0.2954  1 As 2.69, 1 Ag 2.93

## Properties
Symmetry   P1, No. 1
ρ   3.80 g/cm³
Energy relative to the elements, uncorrected   -0.157 eV per atom

# 8
The following is a DFT calculation (PBE-GGA) of an optimized crystal structure of AgAsI2.

Cell lengths 9.4516, 9.4516, 9.4516 Å; angles 144.44, 144.44, 51.17 degrees
Closest atoms and distances in Å follow each position.
Positions (direct):
Ag1 0.0000 0.0000 0.0000  4 I 2.99
Ag2 0.7500 0.2500 0.5000  4 I 2.99
As1 0.2500 0.7500 0.5000  4 I 2.92
As2 0.5000 0.5000 0.0000  4 I 2.92
I1 0.1372 0.6250 0.0122  2 As 2.92, 2 Ag 2.99
I2 0.3750 0.3872 0.5122  2 As 2.92, 2 Ag 2.99
I3 0.6128 0.1250 0.9878  2 As 2.92, 2 Ag 2.99
I4 0.8750 0.8628 0.4878  2 As 2.92, 2 Ag 2.99

## Properties
Symmetry   I-42d, No. 122
ρ   5.11 g/cm³
Energy relative to the elements, uncorrected   0.315 eV per atom
Energy relative to the lowest polymorph listed for this composition   0 meV/atom

# 9
The following is a DFT calculation (PBE-GGA) of an optimized crystal structure of Ag2AsI.

Cell lengths 7.2144, 7.2144, 7.2144 Å; angles 125.39, 125.39, 80.89 degrees
Closest atoms and distances in Å follow each position.
Positions (direct):
Ag1 0.0787 0.6250 0.9537  2 As 2.54
Ag2 0.3750 0.3287 0.4537  2 As 2.54
Ag3 0.6713 0.1250 0.0463  2 As 2.54
Ag4 0.8750 0.9213 0.5463  2 As 2.54
As1 0.0000 0.0000 0.0000  4 Ag 2.54
As2 0.7500 0.2500 0.5000  4 Ag 2.54
I1 0.2500 0.7500 0.5000  4 Ag 2.91
I2 0.5000 0.5000 0.0000  4 Ag 2.91

## Properties
Symmetry   I-42d, No. 122
ρ   5.77 g/cm³
Energy relative to the elements, uncorrected   0.197 eV per atom
Energy relative to the lowest polymorph listed for this composition   0 meV/atom

# 10
The following is a DFT calculation (PBE-GGA) of an optimized crystal structure of Ag12As5I3.

Cell lengths 13.9728, 13.9728, 13.9728 Å; angles 109.47, 109.47, 109.47 degrees
Closest atoms and distances in Å follow each position.
Positions (direct):
Ag1 0.0300 0.2094 0.0950  2 As 2.54-2.59
Ag2 0.0300 0.3206 0.9350  2 As 2.54-2.59
Ag3 0.0650 0.5950 0.3856  2 As 2.54-2.59
Ag4 0.0650 0.9700 0.6794  2 As 2.54-2.59
Ag5 0.0950 0.0300 0.2094  2 As 2.54-2.59
Ag6 0.0950 0.5650 0.8856  2 As 2.54-2.59
Ag7 0.1144 0.7094 0.6794  2 As 2.54-2.59
Ag8 0.1144 0.9050 0.4350  2 As 2.54-2.59
Ag9 0.1794 0.2094 0.6144  2 As 2.54-2.59
Ag10 0.1794 0.4700 0.5650  2 As 2.54-2.59
Ag11 0.2094 0.0950 0.0300  2 As 2.54-2.59
Ag12 0.2094 0.6144 0.1794  2 As 2.54-2.59
Ag13 0.2906 0.3206 0.8856  2 As 2.54-2.59
Ag14 0.2906 0.4700 0.4050  2 As 2.54-2.59
Ag15 0.3206 0.8856 0.2906  2 As 2.54-2.59
Ag16 0.3206 0.9350 0.0300  2 As 2.54-2.59
Ag17 0.3856 0.0650 0.5950  2 As 2.54-2.59
Ag18 0.3856 0.8206 0.7906  2 As 2.54-2.59
Ag19 0.4050 0.2906 0.4700  2 As 2.54-2.59
Ag20 0.4050 0.6144 0.9350  2 As 2.54-2.59
Ag21 0.4350 0.1144 0.9050  2 As 2.54-2.59
Ag22 0.4350 0.8206 0.5300  2 As 2.54-2.59
Ag23 0.4700 0.4050 0.2906  2 As 2.54-2.59
Ag24 0.4700 0.5650 0.1794  2 As 2.54-2.59
Ag25 0.5300 0.4350 0.8206  2 As 2.54-2.59
Ag26 0.5300 0.5950 0.7094  2 As 2.54-2.59
Ag27 0.5650 0.1794 0.4700  2 As 2.54-2.59
Ag28 0.5650 0.8856 0.0950  2 As 2.54-2.59
Ag29 0.5950 0.3856 0.0650  2 As 2.54-2.59
Ag30 0.5950 0.7094 0.5300  2 As 2.54-2.59
Ag31 0.6144 0.1794 0.2094  2 As 2.54-2.59
Ag32 0.6144 0.9350 0.4050  2 As 2.54-2.59
Ag33 0.6794 0.0650 0.9700  2 As 2.54-2.59
Ag34 0.6794 0.1144 0.7094  2 As 2.54-2.59
Ag35 0.7094 0.5300 0.5950  2 As 2.54-2.59
Ag36 0.7094 0.6794 0.1144  2 As 2.54-2.59
Ag37 0.7906 0.3856 0.8206  2 As 2.54-2.59
Ag38 0.7906 0.9050 0.9700  2 As 2.54-2.59
Ag39 0.8206 0.5300 0.4350  2 As 2.54-2.59
Ag40 0.8206 0.7906 0.3856  2 As 2.54-2.59
Ag41 0.8856 0.0950 0.5650  2 As 2.54-2.59
Ag42 0.8856 0.2906 0.3206  2 As 2.54-2.59
Ag43 0.9050 0.4350 0.1144  2 As 2.54-2.59
Ag44 0.9050 0.9700 0.7906  2 As 2.54-2.59
Ag45 0.9350 0.0300 0.3206  2 As 2.54-2.59
Ag46 0.9350 0.4050 0.6144  2 As 2.54-2.59
Ag47 0.9700 0.6794 0.0650  2 As 2.54-2.59
Ag48 0.9700 0.7906 0.9050  2 As 2.54-2.59
As1 0.0000 0.0000 0.0000  6 Ag 2.59
As2 0.0000 0.0000 0.5000  6 Ag 2.59
As3 0.0000 0.5000 0.0000  6 Ag 2.59
As4 0.0000 0.5000 0.5000  6 Ag 2.59
As5 0.1250 0.7500 0.8750  4 Ag 2.54
As6 0.1250 0.8750 0.2500  4 Ag 2.54
As7 0.2500 0.1250 0.8750  4 Ag 2.54
As8 0.2500 0.6250 0.3750  4 Ag 2.54
As9 0.3750 0.2500 0.6250  4 Ag 2.54
As10 0.3750 0.6250 0.7500  4 Ag 2.54
As11 0.5000 0.0000 0.0000  6 Ag 2.59
As12 0.5000 0.0000 0.5000  6 Ag 2.59
As13 0.5000 0.5000 0.0000  6 Ag 2.59
As14 0.5000 0.5000 0.5000  6 Ag 2.59
As15 0.6250 0.3750 0.2500  4 Ag 2.54
As16 0.6250 0.7500 0.3750  4 Ag 2.54
As17 0.7500 0.3750 0.6250  4 Ag 2.54
As18 0.7500 0.8750 0.1250  4 Ag 2.54
As19 0.8750 0.1250 0.7500  4 Ag 2.54
As20 0.8750 0.2500 0.1250  4 Ag 2.54
I1 0.1250 0.2500 0.3750  4 Ag 2.96
I2 0.1250 0.3750 0.7500  4 Ag 2.96
I3 0.2500 0.3750 0.1250  4 Ag 2.96
I4 0.2500 0.8750 0.6250  4 Ag 2.96
I5 0.3750 0.1250 0.2500  4 Ag 2.96
I6 0.3750 0.7500 0.1250  4 Ag 2.96
I7 0.6250 0.2500 0.8750  4 Ag 2.96
I8 0.6250 0.8750 0.7500  4 Ag 2.96
I9 0.7500 0.1250 0.3750  4 Ag 2.96
I10 0.7500 0.6250 0.8750  4 Ag 2.96
I11 0.8750 0.6250 0.2500  4 Ag 2.96
I12 0.8750 0.7500 0.6250  4 Ag 2.96

## Properties
Symmetry   Ia-3d, No. 230
ρ   6.48 g/cm³
Energy relative to the elements, uncorrected   0.270 eV per atom

# 11
The following is a DFT calculation (PBE-GGA) of an optimized crystal structure of AgAsI4.

Cell lengths 10.0574, 10.0574, 7.3708 Å; angles 103.58, 103.58, 130.41 degrees
Closest atoms and distances in Å follow each position.
Positions (direct):
Ag1 0.0708 0.9292 0.7500  6 I 2.92-3.21
Ag2 0.9292 0.0708 0.2500  6 I 2.92-3.21
As1 0.4294 0.5706 0.2500  4 I 2.73-2.93
As2 0.5706 0.4294 0.7500  4 I 2.73-2.93
I1 0.0947 0.4415 0.2546  1 As 2.73, 1 Ag 2.92
I2 0.2025 0.3114 0.7729  2 As 2.93-3.14, 2 Ag 3.09-3.21
I3 0.3114 0.2025 0.2729  2 As 2.93-3.14, 2 Ag 3.09-3.21
I4 0.4415 0.0947 0.7546  1 As 2.73, 1 Ag 2.92
I5 0.5585 0.9053 0.2454  1 As 2.73, 1 Ag 2.92
I6 0.6886 0.7975 0.7271  2 As 2.93-3.14, 2 Ag 3.09-3.21
I7 0.7975 0.6886 0.2271  2 As 2.93-3.14, 2 Ag 3.09-3.21
I8 0.9053 0.5585 0.7454  1 As 2.73, 1 Ag 2.92

## Properties
Symmetry   C2/c, No. 15
ρ   4.88 g/cm³
Energy relative to the elements, uncorrected   -0.170 eV per atom

# 12
The following is a DFT calculation (PBE-GGA) of an optimized crystal structure of Ag3AsI.

Cell lengths 5.0791, 5.0791, 5.0791 Å; angles 90.00, 90.00, 90.00 degrees
Closest atoms and distances in Å follow each position.
Positions (direct):
Ag1 0.0000 0.0000 0.5000  2 As 2.54
Ag2 0.0000 0.5000 0.0000  2 As 2.54
Ag3 0.5000 0.0000 0.0000  2 As 2.54
As1 0.0000 0.0000 0.0000  6 Ag 2.54
I1 0.5000 0.5000 0.5000  12 Ag 3.59

## Properties
Symmetry   Pm-3m, No. 221
ρ   6.66 g/cm³
Energy relative to the elements, uncorrected   0.234 eV per atom
Energy relative to the lowest polymorph listed for this composition   0 meV/atom

| no. | magnetization (μB per formula unit) |
| --- | --- |
| 1 | 0.000 |
| 2 | 0.000 |
| 3 | 0.000 |
| 4 | 1.007 |
| 5 | 0.000 |
| 6 | 0.000 |
| 7 | 0.000 |
| 8 | 0.000 |
| 9 | 0.000 |
| 10 | 0.000 |
| 11 | 0.000 |
| 12 | 0.000 |